{
  "formula": "Rb5Cr2O6",
  "functional": "PBE+U",
  "state": "relaxed",
  "volume_a3_per_atom": 22.10,
  "space_group": "C2/c (15)",
  "crystal_system": "monoclinic",
  "dft_energy_ev_per_atom": -5.283,
  "rho_g_cm3": 3.63,
  "lattice_angstrom": [[6.512, 0.090, 0.782], [2.580, 5.980, 0.782], [0.343, 0.229, 14.902]],
  "species": ["Rb", "Rb", "Rb", "Rb", "Rb", "Rb", "Rb", "Rb", "Rb", "Rb", "Cr", "Cr", "Cr", "Cr", "O", "O", "O", "O", "O", "O", "O", "O", "O", "O", "O", "O"],
  "fractional_positions": [[0.672, 0.199, 0.996], [0.801, 0.328, 0.504], [0.328, 0.801, 0.004], [0.199, 0.672, 0.496], [0.786, 0.908, 0.710], [0.092, 0.214, 0.790], [0.214, 0.092, 0.290], [0.908, 0.786, 0.210], [0.397, 0.603, 0.750], [0.603, 0.397, 0.250], [0.364, 0.088, 0.575], [0.912, 0.636, 0.925], [0.636, 0.912, 0.425], [0.088, 0.364, 0.075], [0.140, 0.011, 0.626], [0.989, 0.860, 0.874], [0.860, 0.989, 0.374], [0.011, 0.140, 0.126], [0.401, 0.280, 0.640], [0.720, 0.599, 0.860], [0.599, 0.720, 0.360], [0.280, 0.401, 0.140], [0.639, 0.825, 0.552], [0.175, 0.361, 0.948], [0.361, 0.175, 0.448], [0.825, 0.639, 0.052]]
}